No. 1
Compound: MnNbFeOs
Source: Alexandria
Functional: GGA-PBE
Structure: optimized geometry

## Properties
The calculation puts the volume at 56.9 Å³/cell. As for the space-group type: No. 216. Its raw total energy is -38.95 eV per cell. Its mass density is 11.5 g cm⁻³.

abc: 4.3168 4.3168 4.3168
angles: 60.00 60.00 60.00
Element x y z (fractional)
Nb: 0.0000 0.0000 0.0000
Mn: 0.5000 0.5000 0.5000
Os: 0.2500 0.2500 0.2500
Fe: 0.7500 0.7500 0.7500


No. 2
Compound: Rb4ZnHg3
Source: Alexandria
Functional: GGA-PBE
Structure: optimized geometry

## Properties
The calculation puts the volume at 360.8 Å³/cell. As for the space-group type: No. 25. Its raw total energy is -7.24 eV per cell. Its mass density is 4.6 g cm⁻³.

abc: 5.3555 5.1203 13.1571
angles: 90.00 90.00 90.00
Element x y z (fractional)
Zn: 0.5000 0.5000 0.0448
Hg: 0.0000 0.5000 0.5641
Hg: 0.0000 0.0000 0.4361
Hg: 0.5000 0.0000 0.9533
Rb: 0.5000 0.5000 0.3517
Rb: 0.0000 0.5000 0.8565
Rb: 0.0000 0.0000 0.1445
Rb: 0.5000 0.0000 0.6490


No. 3
Compound: SrCrRe2
Source: Alexandria
Functional: GGA-PBE
Structure: optimized geometry

## Properties
The calculation puts the volume at 73.9 Å³/cell. As for the space-group type: No. 139. Its raw total energy is -31.21 eV per cell. The value obtained for the offset from the most stable computed form is 625 meV/atom. Its mass density is 11.5 g cm⁻³.

abc: 5.6044 5.6044 5.6044
angles: 139.39 139.39 58.78
Element x y z (fractional)
Cr: 0.7500 0.2500 0.5000
Re: 0.0000 0.0000 0.0000
Re: 0.5000 0.5000 0.0000
Sr: 0.2500 0.7500 0.5000


No. 4
Compound: Cs4Tb3TiSe8
Source: Alexandria
Functional: GGA-PBE
Structure: optimized geometry

## Properties
The calculation puts the volume at 510.5 Å³/cell. As for the space-group type: No. 166. Its raw total energy is -77.86 eV per cell. Its mass density is 5.5 g cm⁻³.

abc: 8.4034 9.6547 8.4047
angles: 115.81 120.00 90.00
Element x y z (fractional)
Cs: 0.5000 0.0000 0.0000
Cs: 0.5000 0.0000 0.5000
Cs: 0.0000 0.0000 0.0000
Cs: 0.0000 0.0000 0.5000
Tb: 0.5000 0.5000 0.0000
Tb: 0.5000 0.5000 0.5000
Tb: 0.0000 0.5000 0.5000
Ti: 0.0000 0.5000 0.0000
Se: 0.2176 0.6804 0.9628
Se: 0.2177 0.6805 0.4355
Se: 0.2705 0.3116 0.5410
Se: 0.7452 0.6804 0.9628
Se: 0.2548 0.3196 0.0372
Se: 0.7295 0.6884 0.4590
Se: 0.7823 0.3195 0.5645
Se: 0.7824 0.3196 0.0372


No. 5
Compound: TmHgBi
Source: Alexandria
Functional: GGA-PBE
Structure: optimized geometry

## Properties
The calculation puts the volume at 85.6 Å³/cell. As for the space-group type: No. 156. Its raw total energy is -9.76 eV per cell. The value obtained for the offset from the most stable computed form is 22 meV/atom. Its mass density is 11.2 g cm⁻³.

abc: 4.3879 4.7448 4.7448
angles: 120.00 90.00 90.00
Element x y z (fractional)
Tm: 0.2895 0.3333 0.6667
Bi: 0.6851 0.6667 0.3333
Hg: 0.0254 0.0000 0.0000


No. 6
Compound: U2InRu
Source: Alexandria
Functional: GGA-PBE
Structure: optimized geometry

## Properties
The calculation puts the volume at 80.4 Å³/cell. As for the space-group type: No. 166. Its raw total energy is -34.20 eV per cell. Its mass density is 14.3 g cm⁻³.

abc: 3.0006 3.0006 10.4582
angles: 81.75 81.75 60.00
Element x y z (fractional)
Ru: 0.0000 0.0000 0.0000
U: 0.7411 0.7411 0.7766
U: 0.2589 0.2589 0.2234
In: 0.5000 0.5000 0.5000


No. 7
Compound: Pr2Er3Sc4
Source: Alexandria
Functional: GGA-PBE
Structure: optimized geometry

## Properties
The calculation puts the volume at 521.2 Å³/cell. As for the space-group type: No. 15. Its raw total energy is -95.17 eV per cell. Its mass density is 6.1 g cm⁻³.

abc: 5.8411 10.8612 10.8612
angles: 62.23 63.62 63.62
Element x y z (fractional)
Pr: 0.4431 0.2331 0.5143
Pr: 0.0569 0.4857 0.7669
Pr: 0.5569 0.7669 0.4857
Pr: 0.9431 0.5143 0.2331
Er: 0.7934 0.0581 0.2638
Er: 0.7066 0.7362 0.9419
Er: 0.2066 0.9419 0.7362
Er: 0.2934 0.2638 0.0581
Er: 0.2500 0.6146 0.3854
Er: 0.7500 0.3854 0.6146
Sc: 0.4353 0.9174 0.1737
Sc: 0.0647 0.8263 0.0826
Sc: 0.5647 0.0826 0.8263
Sc: 0.9353 0.1737 0.9174
Sc: 0.1117 0.1336 0.4101
Sc: 0.3883 0.5899 0.8664
Sc: 0.8883 0.8664 0.5899
Sc: 0.6117 0.4101 0.1336